No. 1
{
  "formula": "Ba2Cd2In",
  "functional": "GGA-PBEsol",
  "state": "optimized geometry",
  "lattice_angstrom": [[5.2844, 0.0000, 0.0000], [0.0000, 7.8930, 0.0000], [0.0000, 0.0000, 7.8930]],
  "species": ["Cd", "Cd", "Ba", "Cd", "Ba", "Ba", "Cd", "Ba", "In", "In"],
  "frac_coords": [[0.0000, 0.8730, 0.6270], [0.0000, 0.3730, 0.8730], [0.5000, 0.8188, 0.3188], [0.0000, 0.6270, 0.1270], [0.5000, 0.6812, 0.8188], [0.5000, 0.3188, 0.1812], [0.0000, 0.1270, 0.3730], [0.5000, 0.1812, 0.6812], [0.0000, 0.0000, 0.0000], [0.0000, 0.5000, 0.5000]],
  "density_g_cm3": 6.2,
  "delta_e_f_mev_per_atom": -267
}

No. 2
{
  "formula": "Mn3Cr3O8",
  "functional": "GGA-PBEsol",
  "state": "optimized geometry",
  "lattice_angstrom": [[-1.4042, -5.7607, -0.3892], [4.2681, -4.1243, 0.2857], [0.4377, -3.4953, 4.7958]],
  "species": ["O", "O", "Mn", "Cr", "O", "Mn", "Cr", "Mn", "Cr", "O", "O", "O", "O", "O"],
  "frac_coords": [[0.7878, 0.2399, 0.7325], [0.2399, 0.7878, 0.7325], [0.3752, 0.3752, 0.8743], [0.5000, 0.0000, 0.5000], [0.7601, 0.7601, 0.2675], [0.6248, 0.6248, 0.1257], [0.0000, 0.5000, 0.5000], [0.0000, 0.0000, 0.0000], [0.0000, 0.0000, 0.5000], [0.7601, 0.2122, 0.2675], [0.2122, 0.7601, 0.2675], [0.7631, 0.7631, 0.7108], [0.2399, 0.2399, 0.7325], [0.2369, 0.2369, 0.2892]],
  "density_g_cm3": 5.0,
  "raw_formation_energy_ev_per_atom": -1.68
}

No. 3
{
  "formula": "MgCd2Tc",
  "functional": "GGA-PBEsol",
  "state": "optimized geometry",
  "lattice_angstrom": [[2.8445, 0.0000, 0.0000], [0.0000, 2.8445, 0.0000], [0.0000, 0.0000, 8.9707]],
  "species": ["Cd", "Cd", "Tc", "Mg"],
  "frac_coords": [[0.5000, 0.5000, 0.2524], [0.0000, 0.0000, 0.9795], [0.5000, 0.5000, 0.7456], [0.0000, 0.0000, 0.5225]],
  "density_g_cm3": 7.9,
  "delta_e_f_mev_per_atom": 270
}

No. 4
{
  "formula": "NbPtBr2",
  "functional": "GGA-PBEsol",
  "state": "optimized geometry",
  "lattice_angstrom": [[-0.5928, -2.8574, -1.3035], [2.4219, -1.9357, -0.7767], [0.3083, -5.1827, 7.3020]],
  "species": ["Nb", "Pt", "Br", "Br"],
  "frac_coords": [[0.5000, 0.5000, 0.5000], [0.0000, 0.0000, 0.0000], [0.0945, 0.0945, 0.7165], [0.9055, 0.9055, 0.2835]],
  "density_g_cm3": 9.6,
  "raw_formation_energy_ev_per_atom": 0.05
}

No. 5
{
  "formula": "CdIn2Te4",
  "functional": "GGA-PBEsol",
  "state": "optimized geometry",
  "lattice_angstrom": [[-1.1737, -2.5628, 5.5471], [2.2339, -5.4374, -2.0395], [5.1364, 5.6010, 0.1848]],
  "species": ["Te", "Te", "In", "Te", "In", "Te", "Cd"],
  "frac_coords": [[0.5793, 0.6388, 0.7209], [0.9179, 0.4207, 0.2791], [0.7500, 0.2500, 0.5000], [0.3612, 0.8584, 0.2791], [0.5000, 0.5000, 0.0000], [0.1416, 0.0821, 0.7209], [0.0000, 0.0000, 0.0000]],
  "density_g_cm3": 5.9,
  "raw_formation_energy_ev_per_atom": -0.32
}

No. 6
{
  "formula": "LiSbI2Br",
  "functional": "GGA-PBEsol",
  "state": "optimized geometry",
  "lattice_angstrom": [[5.0548, 0.0000, 0.0000], [0.0000, 5.0548, 0.0000], [0.0000, 0.0000, 5.4800]],
  "species": ["Br", "Li", "Sb", "I", "I"],
  "frac_coords": [[0.5000, 0.5000, 0.5000], [0.0000, 0.0000, 0.0000], [0.0000, 0.0000, 0.5000], [0.0000, 0.5000, 0.0000], [0.5000, 0.0000, 0.0000]],
  "density_g_cm3": 5.5,
  "raw_formation_energy_ev_per_atom": 0.00
}

No. 7
{
  "formula": "Cd2GeSbRu",
  "functional": "GGA-PBEsol",
  "state": "optimized geometry",
  "lattice_angstrom": [[4.8303, 0.0000, 0.0000], [0.0000, 5.1207, 0.0000], [0.0000, 0.0000, 5.1207]],
  "species": ["Ge", "Ru", "Cd", "Cd", "Sb"],
  "frac_coords": [[0.5000, 0.5000, 0.5000], [0.0000, 0.0000, 0.0000], [0.0000, 0.0000, 0.5000], [0.0000, 0.5000, 0.0000], [0.5000, 0.0000, 0.0000]],
  "density_g_cm3": 6.8,
  "raw_formation_energy_ev_per_atom": 0.59
}

No. 8
{
  "formula": "TcMo3",
  "functional": "GGA-PBEsol",
  "state": "optimized geometry",
  "lattice_angstrom": [[-0.0531, 0.1695, 3.0955], [3.5410, -2.5971, 0.2030], [2.6041, 3.5386, -0.1491]],
  "species": ["Mo", "Tc", "Mo", "Mo"],
  "frac_coords": [[0.5000, 0.5000, 0.0000], [0.0000, 0.5000, 0.5000], [0.0000, 0.0000, 0.0000], [0.5000, 0.0000, 0.5000]],
  "polymorph_energy_mev_per_atom": 13,
  "density_g_cm3": 10.7,
  "delta_e_f_mev_per_atom": 47
}